# RbPH4 GGA-PBE relaxed
data_RbPH4
_chemical_formula_sum 'Rb1 P1 H4'
_cell_length_a 4.433
_cell_length_b 4.433
_cell_length_c 4.704
_cell_angle_alpha 90.00
_cell_angle_beta 90.00
_cell_angle_gamma 90.00
_space_group_name_H-M_alt 'P 4/m m m'
_space_group_IT_number 123
_space_group_name_Hall '-P 4 2'
loop_
_atom_site_label
_atom_site_type_symbol
_atom_site_fract_x
_atom_site_fract_y
_atom_site_fract_z
Rb1 Rb 0.000 0.000 0.000
P1 P 0.500 0.500 0.500
H1 H 0.267 0.267 0.500
# relative energy among the computed polymorphs	241	meV/atom

---

# Er5ScPb4 GGA-PBE relaxed
data_Er5ScPb4
_chemical_formula_sum 'Er10 Sc2 Pb8'
_cell_length_a 17.357
_cell_length_b 3.589
_cell_length_c 9.560
_cell_angle_alpha 90.00
_cell_angle_beta 91.31
_cell_angle_gamma 90.00
_space_group_name_H-M_alt 'C 1 2/m 1'
_space_group_IT_number 12
_space_group_name_Hall '-C 2y'
loop_
_atom_site_label
_atom_site_type_symbol
_atom_site_fract_x
_atom_site_fract_y
_atom_site_fract_z
Er1 Er 0.000 0.000 0.000
Er2 Er 0.156 0.500 0.259
Er3 Er 0.190 0.500 0.892
Sc1 Sc 0.000 0.000 0.500
Pb1 Pb 0.025 0.500 0.742
Pb2 Pb 0.178 0.000 0.570
# E_form	-179	kJ/mol of formula units

---

# PuUNi2As2 GGA-PBE relaxed
data_PuUNi2As2
_chemical_formula_sum 'Pu1 U1 Ni2 As2'
_cell_length_a 4.0488
_cell_length_b 4.0488
_cell_length_c 7.7795
_cell_angle_alpha 90.00
_cell_angle_beta 90.00
_cell_angle_gamma 120.00
_space_group_name_H-M_alt 'P -3 m 1'
_space_group_IT_number 164
_space_group_name_Hall '-P 3 2"'
loop_
_atom_site_label
_atom_site_type_symbol
_atom_site_fract_x
_atom_site_fract_y
_atom_site_fract_z
Pu1 Pu 0.0000 0.0000 0.0000
U1 U 0.0000 0.0000 0.5000
Ni1 Ni 0.3333 0.6667 0.7041
As1 As 0.3333 0.6667 0.2399
# E_form	-402	kJ/mol of formula units

---

# Y2CuPdO6 GGA-PBE relaxed
data_Y2CuPdO6
_chemical_formula_sum 'Y4 Cu2 Pd2 O12'
_cell_length_a 5.363
_cell_length_b 5.839
_cell_length_c 9.185
_cell_angle_alpha 90.00
_cell_angle_beta 125.37
_cell_angle_gamma 90.00
_space_group_name_H-M_alt 'P 1 21/c 1'
_space_group_IT_number 14
_space_group_name_Hall '-P 2ybc'
loop_
_atom_site_label
_atom_site_type_symbol
_atom_site_fract_x
_atom_site_fract_y
_atom_site_fract_z
Y1 Y 0.226 0.082 0.250
Cu1 Cu 0.500 0.000 0.000
Pd1 Pd 0.000 0.000 0.500
O1 O 0.126 0.193 0.944
O2 O 0.256 0.688 0.942
O3 O 0.378 0.047 0.755
# energy relative to the elements, uncorrected	-19.9	eV per formula unit

---

# B3PbAu GGA-PBE relaxed
data_B3PbAu
_chemical_formula_sum 'B3 Pb1 Au1'
_cell_length_a 4.352
_cell_length_b 4.352
_cell_length_c 4.352
_cell_angle_alpha 90.00
_cell_angle_beta 90.00
_cell_angle_gamma 90.00
_space_group_name_H-M_alt 'P m -3 m'
_space_group_IT_number 221
_space_group_name_Hall '-P 4 2 3'
loop_
_atom_site_label
_atom_site_type_symbol
_atom_site_fract_x
_atom_site_fract_y
_atom_site_fract_z
B1 B 0.000 0.000 0.500
Pb1 Pb 0.500 0.500 0.500
Au1 Au 0.000 0.000 0.000
# E_form	801	kJ/mol of formula units
# relative energy among the computed polymorphs	0	meV/atom

---

# Rb2GeTe2 GGA-PBE relaxed
data_Rb2GeTe2
_chemical_formula_sum 'Rb8 Ge4 Te8'
_cell_length_a 15.448
_cell_length_b 7.523
_cell_length_c 10.293
_cell_angle_alpha 90.00
_cell_angle_beta 119.51
_cell_angle_gamma 90.00
_space_group_name_H-M_alt 'C 1 2/m 1'
_space_group_IT_number 12
_space_group_name_Hall '-C 2y'
loop_
_atom_site_label
_atom_site_type_symbol
_atom_site_fract_x
_atom_site_fract_y
_atom_site_fract_z
Rb1 Rb 0.107 0.000 0.401
Rb2 Rb 0.154 0.500 0.793
Ge1 Ge 0.136 0.500 0.146
Te1 Te 0.122 0.500 0.388
Te2 Te 0.177 0.000 0.791
# energy relative to the elements, uncorrected	-3.0	eV per formula unit
# relative energy among the computed polymorphs	65	meV/atom